A relaxed NdAlPd3 crystal, computed with PBE.

Cell lengths 5.463, 5.952, 5.952 Å; angles 90.00, 90.00, 90.00 degrees
Sites, in units of the cell vectors:
Pd 0.000 0.750 0.750
Nd 0.500 0.000 0.000
Pd 0.672 0.500 0.000
Al 0.237 0.500 0.000
Pd 0.328 0.000 0.500
Pd 0.000 0.750 0.250
Pd 0.000 0.250 0.250
Pd 0.000 0.250 0.750
Al 0.763 0.000 0.500
Nd 0.500 0.500 0.500

Calculated values
As for the symmetry: P4/nmm (129). Its energy of formation from the pure elements is -751 meV/atom. As for the distance to the lowest polymorph of the same formula: 0 meV per atom.